Material: Sm12Bi5Ru2
Method: DFT, PBE
State: optimized geometry

**VASP energy**: -205.236 eV/cell

a = 18.036 Å, b = 7.713 Å, c = 9.862 Å
α = 90.00°, β = 106.54°, γ = 90.00°
Space group C2/m (No. 12)
Asymmetric unit:
1 Sm 0.001 0.000 0.327 (multiplicity 4)
2 Sm 0.004 0.500 0.736 (multiplicity 4)
3 Sm 0.143 0.255 0.061 (multiplicity 8)
4 Sm 0.156 0.258 0.579 (multiplicity 8)
5 Bi 0.000 0.000 0.000 (multiplicity 2)
6 Bi 0.192 0.500 0.332 (multiplicity 4)
7 Bi 0.209 0.500 0.861 (multiplicity 4)
8 Ru 0.000 0.294 0.500 (multiplicity 4)